VASP calculation (PBE) on MgAsOs after structural relaxation.

Cell: 8.875 8.875 8.875 Å, 26.42 26.42 26.42°
Fractional positions:
Mg  0.121  0.121  0.121
Mg  0.879  0.879  0.879
As  0.274  0.274  0.274
As  0.726  0.726  0.726
Os  0.370  0.370  0.370
Os  0.630  0.630  0.630

Computed properties:
**Space-group type**: R-3m (166)
**Electronic total energy**: -5.6503 eV per atom
**Density of states at the Fermi level**: 1.5 states/eV per cell
**ρ**: 7.880 g cm⁻³
**E_form**: 0.174 eV per atom
**V**: 20.332 Å³/atom

VASP calculation (PBE) on BeRhW2 after structural relaxation.

Cell: 2.733 4.091 5.098 Å, 90.00 99.44 90.00°
Fractional positions:
Be  0.000  0.000  0.000
Rh  0.062  0.500  0.255
W  0.427  0.500  0.797
W  0.661  0.000  0.502

Computed properties:
**Space-group type**: Pm (6)
**Electronic total energy**: -9.2598 eV per atom
**Density of states at the Fermi level**: 2.6 states/eV per cell
**ρ**: 14.166 g cm⁻³
**E_form**: -0.014 eV per atom
**V**: 14.054 Å³/atom